# 1
DFT (PBE-GGA) results for a relaxed LiYCd2Pd4 crystal.

Cell lengths 4.6572, 4.6572, 22.7948 Å; angles 90.00, 90.00, 120.00 degrees
Space group R-3m (No. 166, hexagonal axes)
One atom of each set of equivalent atoms:
Li 0.0000 0.0000 0.0000 [3 per cell]
Y 0.0000 0.0000 0.5000 [3 per cell]
Cd 0.0000 0.0000 0.2525 [6 per cell]
Pd 0.0000 0.0000 0.1169 [6 per cell]
Pd 0.0000 0.0000 0.3738 [6 per cell]

Output
**DFT total energy**: -4.44 eV per atom
**Size of the total moment**: 0.00 μB/f.u.

***

# 2
DFT (PBE-GGA) results for a relaxed TiBi2O6 crystal.

Cell lengths 5.420, 5.561, 9.091 Å; angles 90.00, 90.00, 90.00 degrees
Space group Pnnm (No. 58)
One atom of each set of equivalent atoms:
Ti 0.000 0.000 0.000 [2 per cell]
Bi 0.000 0.500 0.197 [4 per cell]
O 0.177 0.302 0.000 [4 per cell]
O 0.207 0.848 0.160 [8 per cell]

Output
**Uncorrected formation energy**: -1.60 eV/atom
**Size of the total moment**: 0.00 μB/f.u.

***

# 3
DFT (PBE-GGA) results for a relaxed AlWSCl2 crystal.

Cell lengths 4.983, 4.983, 4.631 Å; angles 90.00, 90.00, 90.00 degrees
Space group P4/mmm (No. 123)
One atom of each set of equivalent atoms:
Al 0.000 0.000 0.000 [1 per cell]
W 0.500 0.500 0.500 [1 per cell]
S 0.500 0.500 0.000 [1 per cell]
Cl 0.000 0.500 0.500 [2 per cell]

Output
**Uncorrected formation energy**: 0.04 eV/atom
**Size of the total moment**: 1.26 μB/f.u.
**Energy relative to the lowest polymorph listed for this composition**: 0.0 meV per atom

***

# 4
DFT (PBE-GGA) results for a relaxed PuVSiTc crystal.

Cell lengths 6.292, 6.292, 6.292 Å; angles 90.00, 90.00, 90.00 degrees
Space group F-43m (No. 216)
One atom of each set of equivalent atoms:
Pu 0.000 0.000 0.000 [4 per cell]
V 0.250 0.250 0.750 [4 per cell]
Si 0.000 0.000 0.500 [4 per cell]
Tc 0.250 0.250 0.250 [4 per cell]

Output
**Uncorrected formation energy**: -0.17 eV/atom
**Size of the total moment**: 4.66 μB/f.u.

***

# 5
DFT (PBE-GGA) results for a relaxed Cr2AgP crystal.

Cell lengths 3.080, 4.343, 8.538 Å; angles 90.00, 90.00, 90.00 degrees
Space group Cmm2 (No. 35)
One atom of each set of equivalent atoms:
Cr 0.000 0.000 0.000 [2 per cell]
Cr 0.000 0.500 0.204 [2 per cell]
Ag 0.000 0.000 0.476 [2 per cell]
P 0.000 0.500 0.792 [2 per cell]

Output
**DFT total energy**: -6.56 eV per atom
**Size of the total moment**: 0.11 μB/f.u.

***

# 6
DFT (PBE-GGA) results for a relaxed Cs2LiSCl6 crystal.

Cell lengths 7.346, 7.346, 10.459 Å; angles 90.00, 90.00, 90.00 degrees
Space group I4/mmm (No. 139)
One atom of each set of equivalent atoms:
Cs 0.000 0.500 0.250 [4 per cell]
Li 0.000 0.000 0.000 [2 per cell]
S 0.000 0.000 0.500 [2 per cell]
Cl 0.000 0.000 0.281 [4 per cell]
Cl 0.245 0.245 0.000 [8 per cell]

Output
**Uncorrected formation energy**: -1.09 eV/atom
**Size of the total moment**: 1.00 μB/f.u.